(1)
VASP calculation (PBE) on a geometry-optimized RbNi2Pb2 structure.

a = 8.4919 Å, b = 8.4919 Å, c = 3.3257 Å
α = 90.00°, β = 90.00°, γ = 90.00°
Last column: nearest neighbours and their distance in Å.
Space group P4/mbm (No. 127)
Unique sites:
1 Rb 0.0000 0.0000 0.0000 [2 per cell]  2 Rb 3.33, 4 Ni 3.43, 8 Pb 3.65
2 Ni 0.1122 0.3878 0.0000 [4 per cell]  1 Ni 2.69, 4 Pb 2.77
3 Pb 0.1464 0.6464 0.5000 [4 per cell]  4 Ni 2.77

## Properties
- polymorph energy (0 for the lowest one) (kJ/mol of atoms) = 16.5
- calculated formation energy (eV per formula unit) = 1.5

(2)
VASP calculation (PBE) on a geometry-optimized TbCdGaCu structure.

a = 6.7759 Å, b = 6.7759 Å, c = 6.7759 Å
α = 90.00°, β = 90.00°, γ = 90.00°
Last column: nearest neighbours and their distance in Å.
Space group F-43m (No. 216)
Unique sites:
1 Tb 0.0000 0.0000 0.0000 [4 per cell]  4 Cu 2.93, 4 Ga 2.93
2 Cd 0.0000 0.0000 0.5000 [4 per cell]  4 Cu 2.93, 4 Ga 2.93
3 Ga 0.2500 0.2500 0.2500 [4 per cell]  4 Cd 2.93, 4 Tb 2.93
4 Cu 0.2500 0.2500 0.7500 [4 per cell]  4 Cd 2.93, 4 Tb 2.93

## Properties
- calculated formation energy (eV per formula unit) = -1.2

(3)
VASP calculation (PBE) on a geometry-optimized YTa2Cl structure.

a = 3.2502 Å, b = 5.1122 Å, c = 9.7531 Å
α = 90.00°, β = 90.00°, γ = 90.00°
Last column: nearest neighbours and their distance in Å.
Space group Cmmm (No. 65)
Unique sites:
1 Y 0.0000 0.0000 0.0000 [2 per cell]  6 Y 3.03-3.25, 4 Ta 3.14
2 Ta 0.0000 0.5000 0.2755 [4 per cell]  2 Cl 2.73, 4 Ta 3.03
3 Cl 0.0000 0.0000 0.5000 [2 per cell]  4 Ta 2.73, 4 Cl 3.03

## Properties
- polymorph energy (0 for the lowest one) (kJ/mol of atoms) = 60.1
- formation energy (no corrections) (eV/atom) = 0.4362